(1)
DFT (PBE) results for a relaxed Ce3CdSn2 crystal.

## Properties
energy above the lowest structure with this stoichiometry: 0.000 eV per formula unit
density of states at the Fermi level: 35.74 states/eV per cell
magnetization: 3.634 μB per formula unit
SG: Cmmm (65)
total DFT energy (no corrections): -4.901 eV per atom

Structure (POSCAR):
```
Ce3CdSn2
1.0
5.8205 0.0000 0.0000
0.0000 17.5092 0.0000
0.0000 0.0000 3.2710
Ce Cd Sn
6 2 4
Direct
0.0000 0.0000 0.0000 Ce
0.0000 0.3280 0.0000 Ce
0.0000 0.6720 0.0000 Ce
0.5000 0.1720 0.0000 Ce
0.5000 0.5000 0.0000 Ce
0.5000 0.8280 0.0000 Ce
0.0000 0.5000 0.5000 Cd
0.5000 0.0000 0.5000 Cd
0.0000 0.1635 0.5000 Sn
0.0000 0.8365 0.5000 Sn
0.5000 0.3365 0.5000 Sn
0.5000 0.6635 0.5000 Sn
```


(2)
DFT (PBE) results for a relaxed RhPbBr4 crystal.

## Properties
density of states at the Fermi level: 9.59 states/eV per cell
energy relative to the elements, uncorrected: 0.784 eV per atom
magnetization: 0.939 μB per formula unit
SG: F-43m (216)
total DFT energy (no corrections): -2.175 eV per atom

Structure (POSCAR):
```
RhPbBr4
1.0
0.0000 4.4089 4.4089
4.4089 0.0000 4.4089
4.4089 4.4089 0.0000
Rh Pb Br
1 1 4
Direct
0.0000 0.0000 0.0000 Rh
0.2500 0.2500 0.2500 Pb
0.1225 0.6258 0.6258 Br
0.6258 0.1225 0.6258 Br
0.6258 0.6258 0.1225 Br
0.6258 0.6258 0.6258 Br
```


(3)
DFT (PBE) results for a relaxed Ac3Pd2Rh crystal.

## Properties
energy above the lowest structure with this stoichiometry: 0.000 eV per formula unit
density of states at the Fermi level: 5.70 states/eV per cell
magnetization: 0.000 μB per formula unit
SG: C2/c (15)
total DFT energy (no corrections): -5.751 eV per atom

Structure (POSCAR):
```
Ac3Pd2Rh
1.0
6.9209 -3.0874 0.0000
6.9209 3.0874 0.0000
-2.7421 0.0000 8.2811
Ac Pd Rh
6 4 2
Direct
0.0006 0.9994 0.7500 Ac
0.3412 0.3417 0.9207 Ac
0.3417 0.3412 0.4207 Ac
0.6583 0.6588 0.5793 Ac
0.6588 0.6583 0.0793 Ac
0.9994 0.0006 0.2500 Ac
0.1700 0.1706 0.5852 Pd
0.1706 0.1700 0.0852 Pd
0.8294 0.8300 0.9148 Pd
0.8300 0.8294 0.4148 Pd
0.4993 0.5007 0.2500 Rh
0.5007 0.4993 0.7500 Rh
```


(4)
DFT (PBE) results for a relaxed YRh2Pb crystal.

## Properties
density of states at the Fermi level: 2.21 states/eV per cell
magnetization: 0.000 μB per formula unit
SG: Pmm2 (25)
total DFT energy (no corrections): -6.582 eV per atom

Structure (POSCAR):
```
YRh2Pb
1.0
3.5809 0.0000 0.0000
0.0000 4.0087 0.0000
0.0000 0.0000 5.6268
Y Rh Pb
1 2 1
Direct
0.0000 0.0000 0.0000 Y
0.0000 0.0000 0.5121 Rh
0.5000 0.5000 0.8278 Rh
0.5000 0.5000 0.3426 Pb
```